DFT (PBE) results for crystalline Pm4AlRu at its relaxed geometry.

```
Pm4AlRu
1.0
4.4666 -6.8533 0.0000
4.4666 6.8533 0.0000
-2.7137 0.0000 5.6006
Pm Al Ru
8 2 2
Cartesian
0.9258 4.4263 5.1758
0.7203 0.9418 3.7525
3.9369 4.4263 3.2252
2.0772 -0.9418 0.9522
4.1424 0.9418 4.6485
2.2826 -4.4263 2.3755
5.4992 -0.9418 1.8482
5.2937 -4.4263 0.4248
3.7882 1.7241 1.4002
2.4313 -1.7241 4.2005
2.4313 6.8455 4.2005
3.7882 -6.8455 1.4002
```

Summary:
- SG: C2/c
- Total DFT energy (no corrections): -66.7 eV/cell
- Total moment: 0.0 μB/f.u.
- Energy relative to the lowest polymorph listed for this composition: 0.065 eV/atom
- ΔE_f: -225 meV/atom